Entry 1:
Nd2MgHg3: relaxed, PBE.

Properties
The formation energy comes out at -400 meV/atom. The excess energy over the best structure of this formula in the dataset comes out at 62 meV/atom.

Lattice parameters (Å, degrees): 6.9670 10.0968 17.4998 90.00 90.00 90.00
Space group Fmmm (No. 69)
Inequivalent atoms, fractional coordinates:
Nd1 0.2413 0.0000 0.0000 (multiplicity 8)
Nd2 0.2500 0.2500 0.2500 (multiplicity 8)
Mg1 0.0000 0.0000 0.3331 (multiplicity 8)
Hg1 0.0000 0.0000 0.1703 (multiplicity 8)
Hg2 0.0000 0.2422 0.4148 (multiplicity 16)


Entry 2:
EuLuIn2: relaxed, PBE.

Properties
The formation energy comes out at -447 meV/atom. The excess energy over the best structure of this formula in the dataset comes out at 0 meV/atom.

Lattice parameters (Å, degrees): 3.8139 3.8139 7.6491 90.00 90.00 90.00
Space group P4/mmm (No. 123)
Inequivalent atoms, fractional coordinates:
Eu1 0.0000 0.0000 0.0000 (multiplicity 1)
Lu1 0.0000 0.0000 0.5000 (multiplicity 1)
In1 0.5000 0.5000 0.2738 (multiplicity 2)


Entry 3:
CsTh2Te5: relaxed, PBE.

Properties
Its calculated total energy is -5.035 eV/atom.

Lattice parameters (Å, degrees): 4.7776 8.0492 16.2825 90.00 90.00 90.00
Space group Immm (No. 71)
Inequivalent atoms, fractional coordinates:
Cs1 0.0000 0.0000 0.0000 (multiplicity 2)
Th1 0.0000 0.5000 0.1925 (multiplicity 4)
Te1 0.0000 0.2506 0.3466 (multiplicity 8)
Te2 0.0000 0.5000 0.0000 (multiplicity 2)


Entry 4:
ZnCuW: relaxed, PBE.

Properties
The formation energy comes out at 172 meV/atom. The excess energy over the best structure of this formula in the dataset comes out at 0 meV/atom.

Lattice parameters (Å, degrees): 2.6685 2.6685 11.8380 90.00 90.00 90.00
Space group I4mm (No. 107)
Inequivalent atoms, fractional coordinates:
Zn1 0.0000 0.0000 0.0000 (multiplicity 2)
Cu1 0.0000 0.0000 0.6557 (multiplicity 2)
W1 0.0000 0.0000 0.3226 (multiplicity 2)


Entry 5:
GdLuInPb: relaxed, PBE.

Properties
The formation energy comes out at -387 meV/atom.

Lattice parameters (Å, degrees): 7.6004 7.6004 7.6004 90.00 90.00 90.00
Space group F-43m (No. 216)
Inequivalent atoms, fractional coordinates:
Gd1 0.0000 0.0000 0.0000 (multiplicity 4)
Lu1 0.0000 0.0000 0.5000 (multiplicity 4)
In1 0.2500 0.2500 0.2500 (multiplicity 4)
Pb1 0.2500 0.2500 0.7500 (multiplicity 4)


Entry 6:
SiSbN3: relaxed, PBE.

Properties
Its calculated total energy is -6.296 eV/atom.

Lattice parameters (Å, degrees): 3.6930 3.6930 3.6930 90.00 90.00 90.00
Space group Pm-3m (No. 221)
Inequivalent atoms, fractional coordinates:
Si1 0.0000 0.0000 0.0000 (multiplicity 1)
Sb1 0.5000 0.5000 0.5000 (multiplicity 1)
N1 0.0000 0.0000 0.5000 (multiplicity 3)


Entry 7:
MnSb: relaxed, PBE.

Properties
Its calculated total energy is -6.509 eV/atom.

Lattice parameters (Å, degrees): 5.5790 5.5790 5.5790 90.00 90.00 90.00
Space group Fm-3m (No. 225)
Inequivalent atoms, fractional coordinates:
Mn1 0.0000 0.0000 0.0000 (multiplicity 4)
Sb1 0.0000 0.0000 0.5000 (multiplicity 4)


Entry 8:
Mg2Ni7: relaxed, PBE.

Properties
The formation energy comes out at -89 meV/atom.

Lattice parameters (Å, degrees): 4.7581 4.7581 35.6223 90.00 90.00 120.00
Space group R-3m (No. 166, hexagonal axes)
Inequivalent atoms, fractional coordinates:
Mg1 0.0000 0.0000 0.0516 (multiplicity 6)
Mg2 0.0000 0.0000 0.1498 (multiplicity 6)
Ni1 0.0000 0.0000 0.2774 (multiplicity 6)
Ni2 0.0000 0.0000 0.3894 (multiplicity 6)
Ni3 0.0000 0.0000 0.5000 (multiplicity 3)
Ni4 0.0000 0.5000 0.0000 (multiplicity 9)
Ni5 0.0023 0.5011 0.8883 (multiplicity 18)


Entry 9:
Tb3Ho6Er2Sc: relaxed, PBE.

Properties
The formation energy comes out at 28 meV/atom.

Lattice parameters (Å, degrees): 6.0820 10.5236 11.6232 90.00 100.01 90.00
Space group C2/m (No. 12)
Inequivalent atoms, fractional coordinates:
Tb1 0.0000 0.0000 0.0000 (multiplicity 2)
Tb2 0.0000 0.3334 0.0000 (multiplicity 4)
Ho1 0.2471 0.3344 0.7462 (multiplicity 8)
Ho2 0.2505 0.0000 0.7465 (multiplicity 4)
Er1 0.0000 0.1665 0.5000 (multiplicity 4)
Sc1 0.0000 0.5000 0.5000 (multiplicity 2)


Entry 10:
CoAs2Br: relaxed, PBE.

Properties
The excess energy over the best structure of this formula in the dataset comes out at 699 meV/atom.

Lattice parameters (Å, degrees): 3.6473 3.6473 13.8251 90.00 90.00 90.00
Space group I4/mmm (No. 139)
Inequivalent atoms, fractional coordinates:
Co1 0.0000 0.0000 0.0000 (multiplicity 2)
As1 0.0000 0.5000 0.2500 (multiplicity 4)
Br1 0.0000 0.0000 0.5000 (multiplicity 2)


Entry 11:
InCoSb2: relaxed, PBE.

Properties
Its calculated total energy is -4.045 eV/atom.

Lattice parameters (Å, degrees): 6.0656 7.9541 3.7117 90.00 90.00 90.00
Space group Cmmm (No. 65)
Inequivalent atoms, fractional coordinates:
In1 0.0000 0.0000 0.0000 (multiplicity 2)
Co1 0.0000 0.5000 0.0000 (multiplicity 2)
Sb1 0.2500 0.2500 0.5000 (multiplicity 4)


Entry 12:
Cd2As2P: relaxed, PBE.

Properties
The formation energy comes out at 507 meV/atom. The excess energy over the best structure of this formula in the dataset comes out at 345 meV/atom.

Lattice parameters (Å, degrees): 3.8314 3.8314 15.9827 90.00 90.00 90.00
Space group I4/mmm (No. 139)
Inequivalent atoms, fractional coordinates:
Cd1 0.0000 0.5000 0.2500 (multiplicity 4)
As1 0.0000 0.0000 0.0744 (multiplicity 4)
P1 0.0000 0.0000 0.5000 (multiplicity 2)


Entry 13:
SrAsN2: relaxed, PBE.

Properties
Its calculated total energy is -4.999 eV/atom.

Lattice parameters (Å, degrees): 3.1407 3.1407 21.1448 90.00 90.00 120.00
Space group R-3m (No. 166, hexagonal axes)
Inequivalent atoms, fractional coordinates:
Sr1 0.0000 0.0000 0.0000 (multiplicity 3)
As1 0.0000 0.0000 0.5000 (multiplicity 3)
N1 0.0000 0.0000 0.1186 (multiplicity 6)


Entry 14:
CaYRe2: relaxed, PBE.

Properties
The formation energy comes out at 996 meV/atom. The excess energy over the best structure of this formula in the dataset comes out at 810 meV/atom.

Lattice parameters (Å, degrees): 6.9088 6.9088 6.9088 90.00 90.00 90.00
Space group Fm-3m (No. 225)
Inequivalent atoms, fractional coordinates:
Ca1 0.0000 0.0000 0.0000 (multiplicity 4)
Y1 0.0000 0.0000 0.5000 (multiplicity 4)
Re1 0.2500 0.2500 0.2500 (multiplicity 8)